VASP calculation (PBE) on a geometry-optimized ZnCo2As structure. Values from VASP.

Structure (Quantum ESPRESSO input):
```
&SYSTEM
  ibrav = 0, nat = 4, ntyp = 3
/
ATOMIC_SPECIES
As 74.92 As.upf
Co 58.93 Co.upf
Zn 65.41 Zn.upf
CELL_PARAMETERS angstrom
-2.268 -0.900 -3.249
0.326 -1.956 -3.547
-1.637 -4.384 1.283
ATOMIC_POSITIONS angstrom
As -2.684 -5.429 -4.135
Co -1.609 -4.299 1.224
Co -1.817 -3.704 -2.698
Zn -0.895 -1.810 -1.378
```

Summary:
calculated volume = 51 Å³ per cell
space-group type = C2/m
final energy = -0.183 hartree per atom
Fermi-level density of states = 3.4 states/eV/f.u.